Here is a relaxed structure of ZnGa2 from the Alexandria database. Energies are from PBE.

Cell and atoms, written as extended XYZ:
```
6
Lattice="0.0000 3.8586 3.8586 3.8586 0.0000 3.8586 3.8586 3.8586 0.0000" Properties=species:S:1:pos:R:3 pbc="T T T"
Zn 0.9647 0.9647 0.9647
Zn 6.7526 6.7526 6.7526
Ga 3.8586 1.9293 1.9293
Ga 1.9293 3.8586 1.9293
Ga 1.9293 1.9293 3.8586
Ga 3.8586 3.8586 3.8586
```

- calculated formation energy (meV/atom) = 190
- total magnetic moment (μB/f.u.) = 0.0

=====

Here is a relaxed structure of YZr2Te from the Alexandria database. Energies are from PBE.

Cell and atoms, written as extended XYZ:
```
4
Lattice="4.7451 0.0000 0.0000 0.0000 1.8752 5.6676 0.0000 -1.8752 5.6676" Properties=species:S:1:pos:R:3 pbc="T T T"
Y 0.0000 0.0000 0.0000
Zr 0.0000 0.0000 2.9935
Zr 2.3725 0.0000 8.0828
Te 2.3725 0.0000 4.8713
```

- formation energy from raw total energies (eV per formula unit) = -1.67
- total magnetic moment (μB/f.u.) = 0.0

=====

Here is a relaxed structure of Sr2Zn15Hg2 from the Alexandria database. Energies are from PBE.

Cell and atoms, written as extended XYZ:
```
19
Lattice="4.6912 2.7085 4.5122 -4.6912 2.7085 4.5122 0.0000 -5.4169 4.5122" Properties=species:S:1:pos:R:3 pbc="T T T"
Sr 0.0000 0.0000 2.1279
Sr 0.0000 0.0000 11.4088
Zn -2.3456 -1.3542 4.5122
Zn 0.0000 -2.7999 4.3517
Zn -2.4248 1.3999 4.3517
Zn -1.4045 -2.4327 6.7684
Zn -2.8090 0.0000 6.7684
Zn -2.4248 -1.3999 9.1850
Zn -2.3456 1.3542 9.0245
Zn 1.4045 -2.4327 6.7684
Zn 0.0000 2.7085 4.5122
Zn -1.4045 2.4327 6.7684
Zn 2.4248 1.3999 4.3517
Zn 2.8090 0.0000 6.7684
Zn 1.4045 2.4327 6.7684
Zn 2.4248 -1.3999 9.1850
Zn 0.0000 2.7999 9.1850
Hg 0.0000 0.0000 5.2977
Hg 0.0000 0.0000 8.2390
```

- calculated formation energy (meV/atom) = -151
- total magnetic moment (μB/f.u.) = 0.0

=====

Here is a relaxed structure of TbSm4S7 from the Alexandria database. Energies are from PBE.

Cell and atoms, written as extended XYZ:
```
12
Lattice="6.5723 -1.9459 0.0000 6.5723 1.9459 0.0000 -3.0333 0.0000 11.3971" Properties=species:S:1:pos:R:3 pbc="T T T"
Tb 0.0000 0.0000 0.0000
Sm 0.1949 0.0000 4.7907
Sm 0.3777 0.0000 9.6214
Sm 3.5704 0.0000 6.9751
Sm 9.9637 0.0000 2.6375
S -1.0056 0.0000 7.2565
S 1.3913 0.0000 2.3187
S 4.7223 0.0000 0.7888
S 4.8166 0.0000 4.2199
S 5.2112 0.0000 10.5205
S 8.7109 0.0000 5.3863
S 8.8661 0.0000 8.8435
```

- formation energy from raw total energies (eV per formula unit) = -24.83
- total magnetic moment (μB/f.u.) = 0.0

=====

Here is a relaxed structure of Tb7Sm2Y from the Alexandria database. Energies are from PBE.

Cell and atoms, written as extended XYZ:
```
10
Lattice="6.1919 0.0000 0.0000 2.0726 6.8371 0.0000 2.0760 1.2250 7.6304" Properties=species:S:1:pos:R:3 pbc="T T T"
Tb 0.0000 0.0000 0.0000
Tb 4.1424 6.2075 4.5795
Tb 4.1352 4.3508 1.5237
Tb 3.1017 0.9248 1.5158
Tb 7.2387 7.1373 6.1146
Tb 6.2052 3.7113 6.1067
Tb 6.1980 1.8546 3.0509
Sm 3.1087 2.7810 4.5728
Sm 7.2317 5.2811 3.0576
Y 1.0363 3.4185 0.0000
```

- calculated formation energy (meV/atom) = 15
- ΔE to the lowest computed polymorph (eV/atom) = 0.0000
- total magnetic moment (μB/f.u.) = 0.0

=====

Here is a relaxed structure of TbCeSmSc from the Alexandria database. Energies are from PBE.

Cell and atoms, written as extended XYZ:
```
4
Lattice="0.0000 3.9318 3.9318 3.9318 0.0000 3.9318 3.9318 3.9318 0.0000" Properties=species:S:1:pos:R:3 pbc="T T T"
Tb 0.0000 0.0000 0.0000
Ce 1.9659 1.9659 1.9659
Sm 5.8977 5.8977 5.8977
Sc 3.9318 3.9318 3.9318
```

- calculated formation energy (meV/atom) = 156
- total magnetic moment (μB/f.u.) = 0.7

=====

Here is a relaxed structure of SrThN2 from the Alexandria database. Energies are from PBE.

Cell and atoms, written as extended XYZ:
```
4
Lattice="1.8465 1.0661 6.2897 -1.8465 1.0661 6.2897 0.0000 -2.1322 6.2897" Properties=species:S:1:pos:R:3 pbc="T T T"
Sr 0.0000 0.0000 0.0000
Th 0.0000 0.0000 3.2228
N 0.0000 0.0000 10.8667
N 0.0000 0.0000 14.5597
```

- formation energy from raw total energies (eV per formula unit) = -4.80
- total magnetic moment (μB/f.u.) = 0.0

=====

Here is a relaxed structure of AgRh2Cl from the Alexandria database. Energies are from PBE.

Cell and atoms, written as extended XYZ:
```
4
Lattice="6.2979 -1.4174 0.0000 6.2979 1.4174 0.0000 -0.0142 0.0000 4.6764" Properties=species:S:1:pos:R:3 pbc="T T T"
Ag 0.0000 0.0000 0.0000
Rh 7.0198 0.0000 2.3401
Rh 11.1778 0.0000 2.3342
Cl 2.8583 0.0000 2.3503
```

- ΔE to the lowest computed polymorph (eV/atom) = 0.1821
- formation energy from raw total energies (eV per formula unit) = 1.44
- total magnetic moment (μB/f.u.) = 0.7

=====

Here is a relaxed structure of Sr3Tl5Br12 from the Alexandria database. Energies are from PBE.

Cell and atoms, written as extended XYZ:
```
80
Lattice="-9.2968 9.2968 9.2968 9.2968 -9.2968 9.2968 9.2968 9.2968 -9.2968" Properties=species:S:1:pos:R:3 pbc="T T T"
Sr 4.6484 2.3242 0.0000
Sr 9.2968 4.6484 -2.3242
Sr 2.3242 0.0000 4.6484
Sr 11.6210 0.0000 4.6484
Sr 0.0000 4.6484 2.3242
Sr 4.6484 -2.3242 9.2968
Sr 4.6484 11.6210 0.0000
Sr 9.2968 4.6484 6.9726
Sr -2.3242 9.2968 4.6484
Sr 6.9726 9.2968 4.6484
Sr 0.0000 4.6484 11.6210
Sr 4.6484 6.9726 9.2968
Tl 0.0000 0.0000 0.0000
Tl 4.6484 4.6484 -4.6484
Tl 4.6484 -4.6484 4.6484
Tl 9.2968 0.0000 0.0000
Tl 13.9452 2.3242 0.0000
Tl 9.2968 -4.6484 6.9726
Tl 6.9726 9.2968 -4.6484
Tl 6.9726 0.0000 4.6484
Tl 4.6484 6.9726 0.0000
Tl 9.2968 4.6484 2.3242
Tl -4.6484 4.6484 4.6484
Tl 0.0000 9.2968 0.0000
Tl 0.0000 0.0000 9.2968
Tl 4.6484 4.6484 4.6484
Tl 0.0000 4.6484 6.9726
Tl 4.6484 2.3242 9.2968
Tl 2.3242 9.2968 4.6484
Tl 2.3242 0.0000 13.9452
Tl 0.0000 13.9452 2.3242
Tl -4.6484 6.9726 9.2968
Br 2.7995 -0.3155 1.4894
Br 11.1457 6.1378 -4.9639
Br 8.9813 -1.4894 2.7995
Br 14.2607 -1.8489 3.1590
Br 12.0963 0.3155 1.4894
Br 11.1457 -3.1590 4.9639
Br 1.4894 2.7995 -0.3155
Br 12.4557 4.3329 -1.8489
Br 6.1378 4.9639 -1.8489
Br 7.8073 2.7995 0.3155
Br -0.3155 1.4894 2.7995
Br 4.9639 -1.8489 6.1378
Br 8.9813 7.8073 -2.7995
Br 4.9639 1.8489 3.1590
Br 7.8073 -2.7995 8.9813
Br 6.1378 -4.9639 11.1457
Br 3.1590 4.9639 1.8489
Br 10.7862 6.4973 0.3155
Br 2.7995 8.9813 -1.4894
Br 11.1457 3.1590 4.3329
Br 4.9639 11.1457 -3.1590
Br 8.9813 1.4894 6.4973
Br 1.8489 3.1590 4.9639
Br 2.7995 0.3155 7.8073
Br 6.4973 8.9813 1.4894
Br 7.4479 6.1378 4.3329
Br 0.3155 7.8073 2.7995
Br 4.3329 -1.8489 12.4557
Br -1.8489 6.1378 4.9639
Br 6.4973 0.3155 10.7862
Br -1.4894 2.7995 8.9813
Br 6.1378 4.3329 7.4479
Br 3.1590 14.2607 -1.8489
Br 1.4894 12.0963 0.3155
Br 4.3329 7.4479 6.1378
Br 0.3155 1.4894 12.0963
Br 4.3329 11.1457 3.1590
Br 9.6123 7.8073 6.4973
Br 1.4894 6.4973 8.9813
Br 3.1590 4.3329 11.1457
Br -3.1590 4.9639 11.1457
Br 7.8073 6.4973 9.6123
Br -1.8489 12.4557 4.3329
Br -2.7995 8.9813 7.8073
Br -4.9639 11.1457 6.1378
Br 0.3155 10.7862 6.4973
Br -1.8489 3.1590 14.2607
Br 6.4973 9.6123 7.8073
```

- ΔE to the lowest computed polymorph (eV/atom) = 0.1024
- formation energy from raw total energies (eV per formula unit) = -25.25
- total magnetic moment (μB/f.u.) = 0.0

=====

Here is a relaxed structure of Na2Hg2F from the Alexandria database. Energies are from PBE.

Cell and atoms, written as extended XYZ:
```
5
Lattice="-2.0100 2.0100 8.3549 2.0100 -2.0100 8.3549 2.0100 2.0100 -8.3549" Properties=species:S:1:pos:R:3 pbc="T T T"
Na 0.0000 0.0000 1.5152
Na 0.0000 0.0000 15.1946
Hg 2.0100 0.0000 4.1775
Hg 0.0000 2.0100 4.1775
F 0.0000 0.0000 8.3549
```

- ΔE to the lowest computed polymorph (eV/atom) = 0.2208
- formation energy from raw total energies (eV per formula unit) = -3.96
- total magnetic moment (μB/f.u.) = 0.0

=====

Here is a relaxed structure of NpPa2CdO8 from the Alexandria database. Energies are from PBE.

Cell and atoms, written as extended XYZ:
```
12
Lattice="-2.7117 2.7117 5.4061 2.7117 -2.7117 5.4061 2.7117 2.7117 -5.4061" Properties=species:S:1:pos:R:3 pbc="T T T"
Np 0.0000 0.0000 0.0000
Pa 0.0000 0.0000 5.4061
Pa 0.0000 2.7117 2.7030
Cd 2.7117 0.0000 2.7030
O 1.4230 1.3182 -1.3165
O 4.0004 1.3182 -1.3165
O 1.3182 1.4230 1.3165
O 1.3935 -1.2887 6.7225
O -1.2887 1.3935 4.0896
O 1.2887 1.3935 4.0896
O 1.3182 4.0004 1.3165
O 1.3935 1.2887 6.7225
```

- formation energy from raw total energies (eV per formula unit) = -36.57
- total magnetic moment (μB/f.u.) = 3.0

=====

Here is a relaxed structure of RbLaSe2 from the Alexandria database. Energies are from PBE.

Cell and atoms, written as extended XYZ:
```
8
Lattice="-4.0665 4.0665 5.1080 4.0665 -4.0665 5.1080 4.0665 4.0665 -5.1080" Properties=species:S:1:pos:R:3 pbc="T T T"
Rb 0.0000 0.0000 0.0000
Rb 0.0000 4.0665 2.5540
La 4.0665 0.0000 2.5540
La 0.0000 0.0000 5.1080
Se 2.0332 2.4862 -1.2770
Se 5.6467 2.0332 1.2770
Se 2.0332 1.5803 3.8310
Se -1.5803 2.0332 6.3850
```

- formation energy from raw total energies (eV per formula unit) = -6.35
- total magnetic moment (μB/f.u.) = 0.0